Model i:
First-principles (PBE-GGA) data for an optimized crystal structure of SiBi3Rh, as listed in the Alexandria database.

POSCAR file:
```
SiBi3Rh
1.0
-3.426 -4.038 0.098
1.881 -1.481 4.725
-3.575 3.091 2.392
Rh Bi Si
1 3 1
direct
0.000 0.000 0.000 Rh
0.000 0.000 0.500 Bi
0.500 0.000 0.000 Bi
0.000 0.500 0.000 Bi
0.500 0.500 0.500 Si
```


Model ii:
First-principles (PBE-GGA) data for an optimized crystal structure of SiBi3Rh, as listed in the Alexandria database.

POSCAR file:
```
SiBi3Rh
1.0
5.268 0.000 0.000
0.000 5.268 0.000
0.000 0.000 5.268
Bi Si Rh
3 1 1
direct
0.000 0.500 0.000 Bi
0.000 0.000 0.500 Bi
0.500 0.000 0.000 Bi
0.000 0.000 0.000 Si
0.500 0.500 0.500 Rh
```


Referenced to the most stable arrangement, the calculated values in eV/atom are model i 0.000; model ii 0.397.


Model i:
First-principles (PBE-GGA) data for an optimized crystal structure of Sm2BiRh, as listed in the Alexandria database.

POSCAR file:
```
Sm2BiRh
1.0
4.277 0.000 0.000
2.139 3.704 0.000
2.139 1.235 7.227
Bi Rh Sm
1 1 2
direct
0.500 0.500 0.500 Bi
0.000 0.000 0.000 Rh
0.738 0.738 0.787 Sm
0.262 0.262 0.213 Sm
```


Model ii:
First-principles (PBE-GGA) data for an optimized crystal structure of Sm2BiRh, as listed in the Alexandria database.

POSCAR file:
```
Sm2BiRh
1.0
-2.119 1.884 3.261
-1.662 -5.726 2.229
7.397 2.572 3.320
Rh Bi Sm
2 2 4
direct
0.250 0.383 0.705 Rh
0.750 0.617 0.295 Rh
0.750 0.114 0.795 Bi
0.250 0.886 0.205 Bi
0.250 0.336 0.106 Sm
0.750 0.251 0.454 Sm
0.750 0.664 0.894 Sm
0.250 0.749 0.546 Sm
```


Model iii:
First-principles (PBE-GGA) data for an optimized crystal structure of Sm2BiRh, as listed in the Alexandria database.

POSCAR file:
```
Sm2BiRh
1.0
-0.440 2.093 -2.916
1.440 -2.588 -2.074
-7.211 -3.102 -1.138
Sm Bi Rh
2 1 1
direct
0.000 0.000 0.789 Sm
0.000 0.000 0.211 Sm
0.500 0.500 0.500 Bi
0.500 0.500 0.000 Rh
```


Referenced to the most stable arrangement, the calculated values in eV/atom are model i 0.152; model ii 0.000; model iii 0.092.


Model i:
First-principles (PBE-GGA) data for an optimized crystal structure of SrBi2Rh3, as listed in the Alexandria database.

POSCAR file:
```
SrBi2Rh3
1.0
4.370 0.000 0.000
-2.185 8.569 -2.643
0.000 0.110 10.597
Bi Sr Rh
6 3 9
direct
0.537 0.075 0.778 Bi
0.811 0.621 0.877 Bi
0.463 0.925 0.222 Bi
0.641 0.282 0.464 Bi
0.189 0.379 0.123 Bi
0.359 0.718 0.536 Bi
0.168 0.336 0.714 Sr
0.832 0.664 0.286 Sr
0.000 0.000 0.000 Sr
0.955 0.910 0.666 Rh
0.682 0.363 0.964 Rh
0.380 0.760 0.794 Rh
0.045 0.090 0.334 Rh
0.789 0.577 0.608 Rh
0.500 0.000 0.500 Rh
0.620 0.240 0.206 Rh
0.211 0.423 0.392 Rh
0.318 0.637 0.036 Rh
```


Model ii:
First-principles (PBE-GGA) data for an optimized crystal structure of SrBi2Rh3, as listed in the Alexandria database.

POSCAR file:
```
SrBi2Rh3
1.0
-2.455 -2.977 -1.688
7.545 -0.996 -3.964
-0.486 -4.009 7.775
Rh Bi Sr
6 4 2
direct
0.048 0.097 0.412 Rh
0.695 0.389 0.489 Rh
0.952 0.903 0.588 Rh
0.425 0.850 0.352 Rh
0.575 0.150 0.648 Rh
0.305 0.611 0.511 Rh
0.203 0.405 0.701 Bi
0.797 0.595 0.299 Bi
0.456 0.912 0.786 Bi
0.544 0.088 0.214 Bi
0.138 0.276 0.015 Sr
0.862 0.724 0.985 Sr
```


Referenced to the most stable arrangement, the calculated values in eV/atom are model i 0.000; model ii 0.050.


Model i:
First-principles (PBE-GGA) data for an optimized crystal structure of Sr3BiRh, as listed in the Alexandria database.

POSCAR file:
```
Sr3BiRh
1.0
-1.632 3.895 -1.930
-4.689 -1.017 7.510
6.926 4.733 3.695
Rh Sr Bi
2 6 2
direct
0.802 0.637 0.747 Rh
0.242 0.517 0.675 Rh
0.411 0.854 0.664 Sr
0.080 0.193 0.389 Sr
0.964 0.961 0.032 Sr
0.262 0.558 0.012 Sr
0.782 0.596 0.409 Sr
0.633 0.300 0.758 Sr
0.417 0.867 0.297 Bi
0.627 0.287 0.124 Bi
```


Model ii:
First-principles (PBE-GGA) data for an optimized crystal structure of Sr3BiRh, as listed in the Alexandria database.

POSCAR file:
```
Sr3BiRh
1.0
5.686 0.000 0.000
0.000 5.686 0.000
0.000 0.000 5.686
Sr Bi Rh
3 1 1
direct
0.000 0.500 0.000 Sr
0.500 0.000 0.000 Sr
0.000 0.000 0.500 Sr
0.500 0.500 0.500 Bi
0.000 0.000 0.000 Rh
```


Referenced to the most stable arrangement, the calculated values in eV/atom are model i 0.000; model ii 0.047.


Model i:
First-principles (PBE-GGA) data for an optimized crystal structure of Sr2BiRh2, as listed in the Alexandria database.

POSCAR file:
```
Sr2BiRh2
1.0
7.351 0.000 0.000
0.000 7.351 0.000
0.000 0.000 4.702
Bi Rh Sr
2 4 4
direct
0.000 0.000 0.000 Bi
0.500 0.500 0.000 Bi
0.874 0.626 0.000 Rh
0.374 0.874 0.000 Rh
0.626 0.126 0.000 Rh
0.126 0.374 0.000 Rh
0.824 0.324 0.500 Sr
0.676 0.824 0.500 Sr
0.176 0.676 0.500 Sr
0.324 0.176 0.500 Sr
```


Model ii:
First-principles (PBE-GGA) data for an optimized crystal structure of Sr2BiRh2, as listed in the Alexandria database.

POSCAR file:
```
Sr2BiRh2
1.0
-1.033 -4.580 -3.737
-1.283 -3.529 4.681
-4.952 -3.000 0.228
Sr Rh Bi
2 2 1
direct
0.750 0.250 0.500 Sr
0.250 0.750 0.500 Sr
0.664 0.664 0.672 Rh
0.336 0.336 0.328 Rh
0.000 0.000 0.000 Bi
```


Referenced to the most stable arrangement, the calculated values in eV/atom are model i 0.000; model ii 0.233.


Model i:
First-principles (PBE-GGA) data for an optimized crystal structure of SrTl2BiRh, as listed in the Alexandria database.

POSCAR file:
```
SrTl2BiRh
1.0
5.256 0.000 0.000
0.000 5.256 0.000
0.000 0.000 5.635
Rh Tl Sr Bi
1 2 1 1
direct
0.000 0.000 0.000 Rh
0.000 0.500 0.000 Tl
0.500 0.000 0.000 Tl
0.500 0.500 0.500 Sr
0.000 0.000 0.500 Bi
```


Model ii:
First-principles (PBE-GGA) data for an optimized crystal structure of SrTl2BiRh, as listed in the Alexandria database.

POSCAR file:
```
SrTl2BiRh
1.0
-3.243 -2.211 -3.495
-0.322 -4.292 3.015
-4.499 2.264 2.742
Bi Rh Tl Sr
1 1 2 1
direct
0.500 0.500 0.500 Bi
0.000 0.000 0.000 Rh
0.500 0.000 0.000 Tl
0.000 0.500 0.000 Tl
0.000 0.000 0.500 Sr
```


Referenced to the most stable arrangement, the calculated values in eV/atom are model i 0.000; model ii 0.007.


Model i:
First-principles (PBE-GGA) data for an optimized crystal structure of Ta3BiRh, as listed in the Alexandria database.

POSCAR file:
```
Ta3BiRh
1.0
4.872 0.000 0.000
0.000 4.872 0.000
0.000 0.000 4.872
Bi Ta Rh
1 3 1
direct
0.500 0.500 0.500 Bi
0.000 0.500 0.000 Ta
0.000 0.000 0.500 Ta
0.500 0.000 0.000 Ta
0.000 0.000 0.000 Rh
```


Model ii:
First-principles (PBE-GGA) data for an optimized crystal structure of Ta3BiRh, as listed in the Alexandria database.

POSCAR file:
```
Ta3BiRh
1.0
-2.948 4.103 -0.152
-0.222 0.027 5.049
4.099 2.951 0.164
Ta Bi Rh
3 1 1
direct
0.000 0.000 0.500 Ta
0.500 0.000 0.000 Ta
0.000 0.500 0.000 Ta
0.000 0.000 0.000 Bi
0.500 0.500 0.500 Rh
```


Referenced to the most stable arrangement, the calculated values in eV/atom are model i 0.000; model ii 1.581.


Model i:
First-principles (PBE-GGA) data for an optimized crystal structure of TcBiRh2, as listed in the Alexandria database.

POSCAR file:
```
TcBiRh2
1.0
0.947 -4.132 -1.820
-1.627 -3.827 1.997
-3.336 -2.435 -2.055
Bi Tc Rh
1 1 2
direct
0.500 0.500 0.500 Bi
0.000 0.000 0.000 Tc
0.250 0.250 0.250 Rh
0.750 0.750 0.750 Rh
```


Model ii:
First-principles (PBE-GGA) data for an optimized crystal structure of TcBiRh2, as listed in the Alexandria database.

POSCAR file:
```
TcBiRh2
1.0
-2.911 0.145 5.027
-3.832 -3.825 -2.109
-0.124 -6.200 3.466
Rh Bi Tc
4 2 2
direct
0.875 0.830 0.750 Rh
0.375 0.420 0.750 Rh
0.580 0.125 0.250 Rh
0.170 0.625 0.250 Rh
0.000 0.000 0.000 Bi
0.750 0.250 0.500 Bi
0.250 0.750 0.500 Tc
0.500 0.500 0.000 Tc
```


Referenced to the most stable arrangement, the calculated values in eV/atom are model i 0.000; model ii 0.342.


Model i:
First-principles (PBE-GGA) data for an optimized crystal structure of Tc2BiRh, as listed in the Alexandria database.

POSCAR file:
```
Tc2BiRh
1.0
-3.333 -3.837 -2.897
2.940 -4.416 2.465
-3.977 -4.178 4.201
Bi Tc Rh
2 4 2
direct
0.750 0.250 0.500 Bi
0.000 0.000 0.000 Bi
0.875 0.826 0.750 Tc
0.375 0.424 0.750 Tc
0.174 0.625 0.250 Tc
0.576 0.125 0.250 Tc
0.500 0.500 0.000 Rh
0.250 0.750 0.500 Rh
```


Model ii:
First-principles (PBE-GGA) data for an optimized crystal structure of Tc2BiRh, as listed in the Alexandria database.

POSCAR file:
```
Tc2BiRh
1.0
0.000 3.215 3.215
3.215 0.000 3.215
3.215 3.215 0.000
Rh Tc Bi
1 2 1
direct
0.000 0.000 0.000 Rh
0.750 0.750 0.750 Tc
0.250 0.250 0.250 Tc
0.500 0.500 0.500 Bi
```


Referenced to the most stable arrangement, the calculated values in eV/atom are model i 0.767; model ii 0.000.


Model i:
First-principles (PBE-GGA) data for an optimized crystal structure of TcBi2Rh, as listed in the Alexandria database.

POSCAR file:
```
TcBi2Rh
1.0
6.104 0.000 0.000
0.000 6.104 0.000
3.052 3.052 6.183
Bi Tc Rh
4 2 2
direct
0.375 0.375 0.750 Bi
0.125 0.625 0.250 Bi
0.625 0.125 0.250 Bi
0.875 0.875 0.750 Bi
0.250 0.750 0.500 Tc
0.500 0.500 0.000 Tc
0.000 0.000 0.000 Rh
0.750 0.250 0.500 Rh
```


Model ii:
First-principles (PBE-GGA) data for an optimized crystal structure of TcBi2Rh, as listed in the Alexandria database.

POSCAR file:
```
TcBi2Rh
1.0
0.000 3.422 3.422
3.422 0.000 3.422
3.422 3.422 0.000
Bi Tc Rh
2 1 1
direct
0.750 0.750 0.750 Bi
0.250 0.250 0.250 Bi
0.000 0.000 0.000 Tc
0.500 0.500 0.500 Rh
```


Referenced to the most stable arrangement, the calculated values in eV/atom are model i 0.391; model ii 0.000.


Model i:
First-principles (PBE-GGA) data for an optimized crystal structure of Bi4TeRh, as listed in the Alexandria database.

POSCAR file:
```
Bi4TeRh
1.0
-3.468 -5.631 -2.607
1.120 -3.437 5.967
-6.911 -1.430 5.098
Bi Rh Te
8 2 2
direct
0.544 0.259 0.830 Bi
0.456 0.741 0.170 Bi
0.675 0.185 0.429 Bi
0.893 0.697 0.402 Bi
0.228 0.312 0.154 Bi
0.107 0.303 0.598 Bi
0.325 0.815 0.571 Bi
0.772 0.688 0.846 Bi
0.000 0.000 0.500 Rh
0.500 0.500 0.500 Rh
0.878 0.227 0.020 Te
0.122 0.773 0.980 Te
```


Model ii:
First-principles (PBE-GGA) data for an optimized crystal structure of Bi4TeRh, as listed in the Alexandria database.

POSCAR file:
```
Bi4TeRh
1.0
-2.340 0.329 -5.729
-2.535 -7.779 3.708
-3.192 6.738 3.483
Bi Rh Te
8 2 2
direct
0.809 0.729 0.663 Bi
0.699 0.324 0.135 Bi
0.301 0.676 0.865 Bi
0.354 0.934 0.663 Bi
0.646 0.066 0.337 Bi
0.064 0.189 0.865 Bi
0.191 0.271 0.337 Bi
0.936 0.811 0.135 Bi
0.736 0.986 0.972 Rh
0.264 0.014 0.028 Rh
0.369 0.619 0.238 Te
0.631 0.381 0.762 Te
```


Referenced to the most stable arrangement, the calculated values in eV/atom are model i 0.082; model ii 0.000.


Model i:
First-principles (PBE-GGA) data for an optimized crystal structure of Th3BiRh, as listed in the Alexandria database.

POSCAR file:
```
Th3BiRh
1.0
-3.736 -1.519 1.633
4.518 -6.139 4.624
1.185 9.734 11.765
Bi Th Rh
4 12 4
direct
0.750 0.407 0.674 Bi
0.750 0.907 0.826 Bi
0.250 0.593 0.326 Bi
0.250 0.093 0.174 Bi
0.750 0.524 0.893 Th
0.750 0.654 0.494 Th
0.750 0.816 0.224 Th
0.250 0.684 0.724 Th
0.750 0.154 0.006 Th
0.250 0.846 0.994 Th
0.750 0.024 0.607 Th
0.250 0.184 0.776 Th
0.250 0.346 0.506 Th
0.250 0.976 0.393 Th
0.250 0.476 0.107 Th
0.750 0.316 0.276 Th
0.250 0.824 0.564 Rh
0.750 0.176 0.436 Rh
0.250 0.324 0.936 Rh
0.750 0.676 0.064 Rh
```


Model ii:
First-principles (PBE-GGA) data for an optimized crystal structure of Th3BiRh, as listed in the Alexandria database.

POSCAR file:
```
Th3BiRh
1.0
-0.293 -3.557 3.827
1.679 -5.678 -5.149
6.496 3.739 3.973
Th Rh Bi
6 2 2
direct
0.500 0.689 0.000 Th
0.000 0.879 0.758 Th
0.500 0.000 0.500 Th
0.500 0.500 0.500 Th
0.000 0.121 0.242 Th
0.500 0.311 0.000 Th
0.500 0.899 0.798 Rh
0.500 0.101 0.202 Rh
0.000 0.643 0.287 Bi
0.000 0.357 0.713 Bi
```


Referenced to the most stable arrangement, the calculated values in eV/atom are model i 0.000; model ii 0.178.